(1)
# Li2Ga2Co

Crystalline Li2Ga2Co at its relaxed geometry (PBE-GGA, Alexandria via LeMat-Bulk).

POSCAR file:
```
Li2Ga2Co
1.0
10.993 0.000 0.000
0.000 5.170 0.000
0.000 0.000 5.411
Li Ga Co
8 8 4
Direct
0.045 0.250 0.000 Li
0.045 0.250 0.500 Li
0.300 0.250 0.000 Li
0.300 0.250 0.500 Li
0.700 0.750 0.000 Li
0.700 0.750 0.500 Li
0.955 0.750 0.000 Li
0.955 0.750 0.500 Li
0.174 0.706 0.250 Ga
0.174 0.794 0.750 Ga
0.500 0.001 0.750 Ga
0.500 0.499 0.250 Ga
0.500 0.501 0.750 Ga
0.500 0.999 0.250 Ga
0.826 0.206 0.250 Ga
0.826 0.294 0.750 Ga
0.358 0.750 0.000 Co
0.358 0.750 0.500 Co
0.642 0.250 0.000 Co
0.642 0.250 0.500 Co
```

Properties
Excess energy over the best structure of this formula in the dataset   0.0000 eV per atom
Formation enthalpy at 0 K   -0.19 eV per atom
Total magnetic moment   0.0000 μB per atom
Electronic total energy   -3.589 eV per atom

***

(2)
# LiGa3Co

Crystalline LiGa3Co at its relaxed geometry (PBE-GGA, Alexandria via LeMat-Bulk).

POSCAR file:
```
LiGa3Co
1.0
6.126 -6.242 0.000
6.126 6.242 0.000
-1.380 0.000 3.893
Li Ga Co
4 12 4
Direct
0.177 0.324 0.002 Li
0.324 0.177 0.502 Li
0.676 0.823 0.498 Li
0.823 0.676 0.998 Li
0.026 0.205 0.369 Ga
0.121 0.630 0.126 Ga
0.205 0.026 0.869 Ga
0.289 0.470 0.630 Ga
0.370 0.879 0.374 Ga
0.470 0.289 0.130 Ga
0.530 0.711 0.870 Ga
0.630 0.121 0.626 Ga
0.711 0.530 0.370 Ga
0.795 0.974 0.131 Ga
0.879 0.370 0.874 Ga
0.974 0.795 0.631 Ga
0.252 0.748 0.750 Co
0.416 0.584 0.250 Co
0.584 0.416 0.750 Co
0.748 0.252 0.250 Co
```

Properties
Excess energy over the best structure of this formula in the dataset   0.0474 eV per atom
Formation enthalpy at 0 K   -0.19 eV per atom
Total magnetic moment   0.0009 μB per atom
Electronic total energy   -3.811 eV per atom

***

(3)
# Li2Ga8Co

Crystalline Li2Ga8Co at its relaxed geometry (PBE-GGA, Alexandria via LeMat-Bulk).

POSCAR file:
```
Li2Ga8Co
1.0
8.295 -2.025 0.000
8.295 2.025 0.000
-0.757 0.000 5.420
Li Ga Co
2 8 1
Direct
0.202 0.202 0.100 Li
0.798 0.798 0.900 Li
0.004 0.004 0.243 Ga
0.204 0.204 0.602 Ga
0.377 0.377 0.696 Ga
0.381 0.381 0.186 Ga
0.619 0.619 0.814 Ga
0.623 0.623 0.304 Ga
0.796 0.796 0.398 Ga
0.996 0.996 0.757 Ga
0.500 0.500 0.500 Co
```

Properties
Excess energy over the best structure of this formula in the dataset   0.0221 eV per atom
Formation enthalpy at 0 K   -0.19 eV per atom
Total magnetic moment   0.0000 μB per atom
Electronic total energy   -3.381 eV per atom

***

(4)
# Li2Ga2Co

Crystalline Li2Ga2Co at its relaxed geometry (PBE-GGA, Alexandria via LeMat-Bulk).

POSCAR file:
```
Li2Ga2Co
1.0
6.172 0.000 0.000
0.000 6.172 0.000
0.000 0.000 4.284
Li Ga Co
4 4 2
Direct
0.171 0.329 0.000 Li
0.329 0.829 0.000 Li
0.671 0.171 0.000 Li
0.829 0.671 0.000 Li
0.156 0.656 0.500 Ga
0.344 0.156 0.500 Ga
0.656 0.844 0.500 Ga
0.844 0.344 0.500 Ga
0.000 0.000 0.500 Co
0.500 0.500 0.500 Co
```

Properties
Excess energy over the best structure of this formula in the dataset   0.1564 eV per atom
Formation enthalpy at 0 K   -0.04 eV per atom
Total magnetic moment   0.0000 μB per atom
Electronic total energy   -3.433 eV per atom

***

(5)
# LiGa2Co2

Crystalline LiGa2Co2 at its relaxed geometry (PBE-GGA, Alexandria via LeMat-Bulk).

POSCAR file:
```
LiGa2Co2
1.0
3.552 0.000 0.000
0.000 3.552 0.000
0.000 0.000 11.589
Li Ga Co
2 4 4
Direct
0.000 0.000 0.000 Li
0.500 0.500 0.500 Li
0.000 0.000 0.391 Ga
0.000 0.000 0.609 Ga
0.500 0.500 0.109 Ga
0.500 0.500 0.891 Ga
0.000 0.500 0.250 Co
0.000 0.500 0.750 Co
0.500 0.000 0.250 Co
0.500 0.000 0.750 Co
```

Properties
Excess energy over the best structure of this formula in the dataset   0.1843 eV per atom
Formation enthalpy at 0 K   -0.04 eV per atom
Total magnetic moment   0.4143 μB per atom
Electronic total energy   -4.478 eV per atom

***

(6)
# LiGaCo4

Crystalline LiGaCo4 at its relaxed geometry (PBE-GGA, Alexandria via LeMat-Bulk).

POSCAR file:
```
LiGaCo4
1.0
0.000 3.340 3.340
3.340 0.000 3.340
3.340 3.340 0.000
Li Ga Co
1 1 4
Direct
0.000 0.000 0.000 Li
0.250 0.250 0.250 Ga
0.125 0.625 0.625 Co
0.625 0.125 0.625 Co
0.625 0.625 0.125 Co
0.625 0.625 0.625 Co
```

Properties
Formation enthalpy at 0 K   0.04 eV per atom
Total magnetic moment   1.0026 μB per atom
Electronic total energy   -5.520 eV per atom

***

(7)
# Li2Ga2Co

Crystalline Li2Ga2Co at its relaxed geometry (PBE-GGA, Alexandria via LeMat-Bulk).

POSCAR file:
```
Li2Ga2Co
1.0
3.216 0.000 0.000
0.000 3.216 0.000
0.000 0.000 13.352
Li Ga Co
4 4 2
Direct
0.000 0.500 0.250 Li
0.000 0.500 0.750 Li
0.500 0.000 0.250 Li
0.500 0.000 0.750 Li
0.000 0.000 0.096 Ga
0.000 0.000 0.904 Ga
0.500 0.500 0.404 Ga
0.500 0.500 0.596 Ga
0.000 0.000 0.500 Co
0.500 0.500 0.000 Co
```

Properties
Excess energy over the best structure of this formula in the dataset   0.2020 eV per atom
Formation enthalpy at 0 K   0.01 eV per atom
Total magnetic moment   0.0001 μB per atom
Electronic total energy   -3.387 eV per atom

***

(8)
# LiGa8Co2

Crystalline LiGa8Co2 at its relaxed geometry (PBE-GGA, Alexandria via LeMat-Bulk).

POSCAR file:
```
LiGa8Co2
1.0
3.826 -5.323 0.000
3.826 5.323 0.000
-1.027 0.000 4.464
Li Ga Co
1 8 2
Direct
0.000 0.000 0.000 Li
0.077 0.324 0.584 Ga
0.275 0.725 0.000 Ga
0.324 0.077 0.584 Ga
0.386 0.386 0.221 Ga
0.614 0.614 0.779 Ga
0.676 0.923 0.416 Ga
0.725 0.275 0.000 Ga
0.923 0.676 0.416 Ga
0.300 0.700 0.500 Co
0.700 0.300 0.500 Co
```

Properties
Formation enthalpy at 0 K   -0.17 eV per atom
Total magnetic moment   0.0000 μB per atom
Electronic total energy   -3.835 eV per atom

***

Q: Which formula does entry 2 have?
A: LiGa3Co